Density functional theory data (PBE) for an optimized crystal structure of AgSn3O.

Calculated values
The value obtained for the calculated volume is 29.564 Å³/atom. The value obtained for the energy above the most stable polymorph in this dataset is 907.5 meV/atom. Its uncorrected formation energy is 3.77 eV/f.u.

Cell: 5.2874 5.2874 5.2874 Å, 90.00 90.00 90.00°
With the nearest neighbours (Å) after each atom.
Atoms (fractional coordinates):
Ag: 0.0000 0.0000 0.0000  6 Sn 2.64
Sn: 0.0000 0.0000 0.5000  2 Ag 2.64
Sn: 0.0000 0.5000 0.0000  2 Ag 2.64
Sn: 0.5000 0.0000 0.0000  2 Ag 2.64
O: 0.5000 0.5000 0.5000  12 Sn 3.74


Density functional theory data (PBE) for an optimized crystal structure of FePdRu2Au.

Calculated values
The value obtained for the calculated volume is 21.319 Å³/atom. For the formation energy, the calculation gives 2.306 eV per atom.

Cell: 4.6585 4.6585 4.9118 Å, 90.00 90.00 90.00°
With the nearest neighbours (Å) after each atom.
Atoms (fractional coordinates):
Fe: 0.0000 0.0000 0.0000  4 Au 3.29, 8 Ru 3.38
Pd: 0.5000 0.5000 0.5000  4 Ru 2.33, 2 Au 2.46
Ru: 0.0000 0.5000 0.5000  2 Pd 2.33
Ru: 0.5000 0.0000 0.5000  2 Pd 2.33
Au: 0.5000 0.5000 0.0000  2 Pd 2.46


Density functional theory data (PBE) for an optimized crystal structure of InSeS.

Calculated values
The value obtained for the calculated volume is 24.782 Å³/atom. The value obtained for the energy above the most stable polymorph in this dataset is 113.9 meV/atom. Its uncorrected formation energy is -0.77 eV/f.u.

Cell: 5.5177 3.9128 7.1177 Å, 90.00 104.61 90.00°
With the nearest neighbours (Å) after each atom.
Atoms (fractional coordinates):
In: 0.0025 0.2500 0.2407  3 S 2.65-2.67, 3 Se 2.78-2.82
In: 0.9975 0.7500 0.7593  3 S 2.65-2.67, 3 Se 2.78-2.82
Se: 0.2772 0.2500 0.6322  1 S 2.68, 3 In 2.78-2.82
Se: 0.7228 0.7500 0.3678  1 S 2.68, 3 In 2.78-2.82
S: 0.2609 0.7500 0.1303  3 In 2.65-2.67, 1 Se 2.68
S: 0.7391 0.2500 0.8697  3 In 2.65-2.67, 1 Se 2.68


Density functional theory data (PBE) for an optimized crystal structure of PrZn2Pd2Au.

Calculated values
The value obtained for the calculated volume is 21.566 Å³/atom. For the formation energy, the calculation gives -0.226 eV per atom.

Cell: 4.7662 4.7662 5.6962 Å, 90.00 90.00 90.00°
With the nearest neighbours (Å) after each atom.
Atoms (fractional coordinates):
Pr: 0.0000 0.0000 0.0000  2 Au 2.85
Zn: 0.0000 0.5000 0.5000  2 Au 2.38
Zn: 0.5000 0.0000 0.5000  2 Au 2.38
Pd: 0.5000 0.5000 0.2459  4 Zn 2.79, 2 Pd 2.80-2.89
Pd: 0.5000 0.5000 0.7541  4 Zn 2.79, 2 Pd 2.80-2.89
Au: 0.0000 0.0000 0.5000  4 Zn 2.38


Density functional theory data (PBE) for an optimized crystal structure of HoPa2BeO8.

Calculated values
The value obtained for the calculated volume is 11.270 Å³/atom. Its uncorrected formation energy is -33.40 eV/f.u.

Cell: 4.9480 4.9480 6.3784 Å, 90.00 90.00 120.00°
With the nearest neighbours (Å) after each atom.
Atoms (fractional coordinates):
Ho: 0.0000 0.0000 0.0000  6 O 2.52
Pa: 0.3333 0.6667 0.3554  1 O 1.93
Pa: 0.6667 0.3333 0.6446  1 O 1.93
Be: 0.0000 0.0000 0.5000  6 O 1.78
O: 0.1634 0.3269 0.6712  1 Be 1.78
O: 0.1634 0.8366 0.6712  1 Be 1.78
O: 0.3269 0.1634 0.3288  1 Be 1.78
O: 0.3333 0.6667 0.0530  1 Pa 1.93
O: 0.6667 0.3333 0.9470  1 Pa 1.93
O: 0.6731 0.8366 0.6712  1 Be 1.78
O: 0.8366 0.1634 0.3288  1 Be 1.78
O: 0.8366 0.6731 0.3288  1 Be 1.78


Density functional theory data (PBE) for an optimized crystal structure of LiCa2Br.

Calculated values
The value obtained for the calculated volume is 31.592 Å³/atom. The value obtained for the energy above the most stable polymorph in this dataset is 23.4 meV/atom. Its uncorrected formation energy is -2.45 eV/f.u.

Cell: 9.8039 9.8039 9.8039 Å, 23.01 23.01 23.01°
With the nearest neighbours (Å) after each atom.
Atoms (fractional coordinates):
Li: 0.0000 0.0000 0.0000  6 Ca 3.36-3.37
Ca: 0.4201 0.4201 0.4201  3 Br 3.19, 3 Li 3.36
Ca: 0.5792 0.5792 0.5792  3 Br 3.22, 3 Li 3.37
Br: 0.8324 0.8324 0.8324  6 Ca 3.19-3.22